[1]
Entry from the Alexandria database: an optimized crystal structure of CaHf3Sb (PBE).

Cell: 5.067 5.067 5.067 Å, 90.00 90.00 90.00°
Space group Pm-3m (No. 221)
Asymmetric unit:
Ca1 0.000 0.000 0.000
Hf1 0.000 0.000 0.500
Sb1 0.500 0.500 0.500

Summary:
- DFT total energy: -0.4071 Ry per atom



[2]
Entry from the Alexandria database: an optimized crystal structure of NdThZnNi (PBE).

Cell: 7.182 7.182 7.182 Å, 90.00 90.00 90.00°
Space group F-43m (No. 216)
Asymmetric unit:
Nd1 0.000 0.000 0.000
Th1 0.000 0.000 0.500
Zn1 0.250 0.250 0.750
Ni1 0.250 0.250 0.250

Summary:
- ΔH_f (0 K): -17 kJ per mole of atoms



[3]
Entry from the Alexandria database: an optimized crystal structure of LiTi2O (PBE).

Cell: 2.9596 2.9596 23.7824 Å, 90.00 90.00 120.00°
Space group R-3m (No. 166, hexagonal axes)
Asymmetric unit:
Li1 0.0000 0.0000 0.0000
Ti1 0.0000 0.0000 0.1162
O1 0.0000 0.0000 0.5000

Summary:
- DFT total energy: -0.4873 Ry per atom